Record 1
# PBE-GGA HoSc2RhO, relaxed
# uncorrected formation energy	-1493	meV per atom
# DFT total energy	-7.403	eV per atom
# DOS(E_F)	0.816	states/eV per atom
data_HoSc2RhO
_chemical_formula_sum 'Ho1 Sc2 Rh1 O1'
_cell_length_a 4.272
_cell_length_b 4.272
_cell_length_c 4.846
_cell_angle_alpha 90.00
_cell_angle_beta 90.00
_cell_angle_gamma 90.00
_space_group_name_H-M_alt 'P 1'
_space_group_IT_number 1
loop_
_space_group_symop_operation_xyz
'x,y,z'
loop_
_atom_site_label
_atom_site_type_symbol
_atom_site_fract_x
_atom_site_fract_y
_atom_site_fract_z
Rh1 Rh 0.500 0.500 0.538
O1 O 0.000 0.000 0.003
Sc1 Sc 0.500 0.000 0.983
Sc2 Sc 0.000 0.500 0.983
Ho1 Ho 0.000 0.000 0.493

Record 2
# PBE-GGA Sr4HoRh3O12, relaxed
# uncorrected formation energy	-1876	meV per atom
# DFT total energy	-6.519	eV per atom
# DOS(E_F)	0.383	states/eV per atom
data_Sr4HoRh3O12
_chemical_formula_sum 'Sr4 Ho1 Rh3 O12'
_cell_length_a 7.060
_cell_length_b 7.060
_cell_length_c 7.060
_cell_angle_alpha 109.47
_cell_angle_beta 109.47
_cell_angle_gamma 109.47
_space_group_name_H-M_alt 'P 1'
_space_group_IT_number 1
loop_
_space_group_symop_operation_xyz
'x,y,z'
loop_
_atom_site_label
_atom_site_type_symbol
_atom_site_fract_x
_atom_site_fract_y
_atom_site_fract_z
Rh1 Rh 0.500 0.000 0.500
Rh2 Rh 0.500 0.500 0.000
Rh3 Rh 0.000 0.500 0.500
Sr1 Sr 0.500 0.500 0.500
Sr2 Sr 0.000 0.500 0.000
Sr3 Sr 0.500 0.000 0.000
Sr4 Sr 0.000 0.000 0.500
O1 O 0.738 0.000 0.738
O2 O 0.750 0.500 0.250
O3 O 0.262 0.000 0.262
O4 O 0.262 0.262 0.000
O5 O 0.738 0.738 0.000
O6 O 0.500 0.750 0.250
O7 O 0.500 0.250 0.750
O8 O 0.250 0.750 0.500
O9 O 0.000 0.738 0.738
O10 O 0.000 0.262 0.262
O11 O 0.750 0.250 0.500
O12 O 0.250 0.500 0.750
Ho1 Ho 0.000 0.000 0.000

Record 3
# PBE-GGA SrHo2RhO5, relaxed
# uncorrected formation energy	-2494	meV per atom
# DFT total energy	-7.270	eV per atom
# DOS(E_F)	0.221	states/eV per atom
data_SrHo2RhO5
_chemical_formula_sum 'Sr1 Ho2 Rh1 O5'
_cell_length_a 3.877
_cell_length_b 5.675
_cell_length_c 6.757
_cell_angle_alpha 114.83
_cell_angle_beta 106.67
_cell_angle_gamma 90.00
_space_group_name_H-M_alt 'P 1'
_space_group_IT_number 1
loop_
_space_group_symop_operation_xyz
'x,y,z'
loop_
_atom_site_label
_atom_site_type_symbol
_atom_site_fract_x
_atom_site_fract_y
_atom_site_fract_z
O1 O 0.346 0.601 0.691
O2 O 0.000 0.000 0.000
O3 O 0.654 0.910 0.309
O4 O 0.654 0.399 0.309
O5 O 0.346 0.090 0.691
Sr1 Sr 0.000 0.500 0.000
Ho1 Ho 0.203 0.203 0.406
Ho2 Ho 0.797 0.797 0.594
Rh1 Rh 0.500 0.000 0.000

Record 4
# PBE-GGA HoRuO4, relaxed
# uncorrected formation energy	-2022	meV per atom
# DFT total energy	-7.637	eV per atom
# energy relative to the lowest polymorph listed for this composition	0	meV/atom
# DOS(E_F)	0.443	states/eV per atom
data_HoRuO4
_chemical_formula_sum 'Ho4 Ru4 O16'
_cell_length_a 5.268
_cell_length_b 7.557
_cell_length_c 7.400
_cell_angle_alpha 99.36
_cell_angle_beta 90.00
_cell_angle_gamma 90.00
_space_group_name_H-M_alt 'P 1'
_space_group_IT_number 1
loop_
_space_group_symop_operation_xyz
'x,y,z'
loop_
_atom_site_label
_atom_site_type_symbol
_atom_site_fract_x
_atom_site_fract_y
_atom_site_fract_z
Ho1 Ho 0.716 0.353 0.607
Ho2 Ho 0.216 0.647 0.893
Ho3 Ho 0.784 0.353 0.107
Ho4 Ho 0.284 0.647 0.393
O1 O 0.869 0.833 0.944
O2 O 0.899 0.064 0.691
O3 O 0.399 0.936 0.809
O4 O 0.506 0.319 0.877
O5 O 0.101 0.936 0.309
O6 O 0.601 0.064 0.191
O7 O 0.987 0.612 0.173
O8 O 0.369 0.167 0.556
O9 O 0.131 0.167 0.056
O10 O 0.494 0.681 0.123
O11 O 0.513 0.612 0.673
O12 O 0.013 0.388 0.827
O13 O 0.006 0.681 0.623
O14 O 0.631 0.833 0.444
O15 O 0.487 0.388 0.327
O16 O 0.994 0.319 0.377
Ru1 Ru 0.730 0.842 0.698
Ru2 Ru 0.270 0.158 0.302
Ru3 Ru 0.770 0.842 0.198
Ru4 Ru 0.230 0.158 0.802

Record 5
# PBE-GGA Ho3RuO6, relaxed
# uncorrected formation energy	-2865	meV per atom
# DFT total energy	-8.140	eV per atom
# DOS(E_F)	0.257	states/eV per atom
data_Ho3RuO6
_chemical_formula_sum 'Ho6 Ru2 O12'
_cell_length_a 6.473
_cell_length_b 6.473
_cell_length_c 6.473
_cell_angle_alpha 98.04
_cell_angle_beta 98.04
_cell_angle_gamma 98.04
_space_group_name_H-M_alt 'P 1'
_space_group_IT_number 1
loop_
_space_group_symop_operation_xyz
'x,y,z'
loop_
_atom_site_label
_atom_site_type_symbol
_atom_site_fract_x
_atom_site_fract_y
_atom_site_fract_z
O1 O 0.807 0.420 0.565
O2 O 0.193 0.580 0.435
O3 O 0.307 0.946 0.061
O4 O 0.693 0.054 0.939
O5 O 0.420 0.565 0.807
O6 O 0.565 0.807 0.420
O7 O 0.054 0.939 0.693
O8 O 0.580 0.435 0.193
O9 O 0.946 0.061 0.307
O10 O 0.939 0.693 0.054
O11 O 0.435 0.193 0.580
O12 O 0.061 0.307 0.946
Ho1 Ho 0.601 0.113 0.285
Ho2 Ho 0.285 0.601 0.113
Ho3 Ho 0.715 0.399 0.887
Ho4 Ho 0.887 0.715 0.399
Ho5 Ho 0.113 0.285 0.601
Ho6 Ho 0.399 0.887 0.715
Ru1 Ru 0.500 0.500 0.500
Ru2 Ru 0.000 0.000 0.000

Record 6
# PBE-GGA HoRuO, relaxed
# uncorrected formation energy	-1502	meV per atom
# DFT total energy	-7.773	eV per atom
# DOS(E_F)	0.111	states/eV per atom
data_HoRuO
_chemical_formula_sum 'Ho2 Ru2 O2'
_cell_length_a 3.595
_cell_length_b 3.828
_cell_length_c 9.359
_cell_angle_alpha 96.13
_cell_angle_beta 90.00
_cell_angle_gamma 118.01
_space_group_name_H-M_alt 'P 1'
_space_group_IT_number 1
loop_
_space_group_symop_operation_xyz
'x,y,z'
loop_
_atom_site_label
_atom_site_type_symbol
_atom_site_fract_x
_atom_site_fract_y
_atom_site_fract_z
O1 O 0.363 0.727 0.848
O2 O 0.637 0.273 0.152
Ru1 Ru 0.335 0.669 0.462
Ru2 Ru 0.665 0.331 0.538
Ho1 Ho 0.028 0.057 0.787
Ho2 Ho 0.972 0.943 0.213

Record 7
# PBE-GGA Ho4Ru6O19, relaxed
# uncorrected formation energy	-1782	meV per atom
# DFT total energy	-7.581	eV per atom
# DOS(E_F)	0.394	states/eV per atom
data_Ho4Ru6O19
_chemical_formula_sum 'Ho4 Ru6 O19'
_cell_length_a 7.752
_cell_length_b 7.752
_cell_length_c 7.752
_cell_angle_alpha 109.47
_cell_angle_beta 109.47
_cell_angle_gamma 109.47
_space_group_name_H-M_alt 'P 1'
_space_group_IT_number 1
loop_
_space_group_symop_operation_xyz
'x,y,z'
loop_
_atom_site_label
_atom_site_type_symbol
_atom_site_fract_x
_atom_site_fract_y
_atom_site_fract_z
Ru1 Ru 0.639 0.500 0.139
Ru2 Ru 0.861 0.361 0.500
Ru3 Ru 0.500 0.139 0.639
Ru4 Ru 0.361 0.500 0.861
Ru5 Ru 0.500 0.861 0.361
Ru6 Ru 0.139 0.639 0.500
O1 O 0.682 0.055 0.303
O2 O 0.626 0.247 0.945
O3 O 0.681 0.681 0.000
O4 O 0.374 0.318 0.621
O5 O 0.000 0.319 0.319
O6 O 0.379 0.697 0.753
O7 O 0.945 0.626 0.247
O8 O 0.753 0.379 0.697
O9 O 0.247 0.945 0.626
O10 O 0.303 0.682 0.055
O11 O 0.319 0.319 0.000
O12 O 0.000 0.681 0.681
O13 O 0.000 0.000 0.000
O14 O 0.318 0.621 0.374
O15 O 0.055 0.303 0.682
O16 O 0.681 0.000 0.681
O17 O 0.697 0.753 0.379
O18 O 0.319 0.000 0.319
O19 O 0.621 0.374 0.318
Ho1 Ho 0.000 0.000 0.706
Ho2 Ho 0.294 0.294 0.294
Ho3 Ho 0.706 0.000 0.000
Ho4 Ho 0.000 0.706 0.000

Record 8
# PBE-GGA Ho2Ru2O7, relaxed
# uncorrected formation energy	-2156	meV per atom
# DFT total energy	-7.830	eV per atom
# DOS(E_F)	0.671	states/eV per atom
data_Ho2Ru2O7
_chemical_formula_sum 'Ho4 Ru4 O14'
_cell_length_a 7.223
_cell_length_b 7.223
_cell_length_c 7.223
_cell_angle_alpha 60.00
_cell_angle_beta 60.00
_cell_angle_gamma 60.00
_space_group_name_H-M_alt 'P 1'
_space_group_IT_number 1
loop_
_space_group_symop_operation_xyz
'x,y,z'
loop_
_atom_site_label
_atom_site_type_symbol
_atom_site_fract_x
_atom_site_fract_y
_atom_site_fract_z
O1 O 0.463 0.037 0.463
O2 O 0.037 0.463 0.463
O3 O 0.463 0.037 0.037
O4 O 0.213 0.787 0.213
O5 O 0.213 0.787 0.787
O6 O 0.750 0.750 0.750
O7 O 0.037 0.463 0.037
O8 O 0.500 0.500 0.500
O9 O 0.213 0.213 0.787
O10 O 0.787 0.787 0.213
O11 O 0.037 0.037 0.463
O12 O 0.787 0.213 0.787
O13 O 0.787 0.213 0.213
O14 O 0.463 0.463 0.037
Ho1 Ho 0.125 0.625 0.625
Ho2 Ho 0.625 0.125 0.625
Ho3 Ho 0.625 0.625 0.625
Ho4 Ho 0.625 0.625 0.125
Ru1 Ru 0.125 0.125 0.125
Ru2 Ru 0.125 0.625 0.125
Ru3 Ru 0.625 0.125 0.125
Ru4 Ru 0.125 0.125 0.625

Record 9
# PBE-GGA Ho12Ru3O5, relaxed
# uncorrected formation energy	-1560	meV per atom
# DFT total energy	-6.937	eV per atom
# DOS(E_F)	0.667	states/eV per atom
data_Ho12Ru3O5
_chemical_formula_sum 'Ho48 Ru12 O20'
_cell_length_a 13.029
_cell_length_b 13.029
_cell_length_c 13.029
_cell_angle_alpha 109.47
_cell_angle_beta 109.47
_cell_angle_gamma 109.47
_space_group_name_H-M_alt 'P 1'
_space_group_IT_number 1
loop_
_space_group_symop_operation_xyz
'x,y,z'
loop_
_atom_site_label
_atom_site_type_symbol
_atom_site_fract_x
_atom_site_fract_y
_atom_site_fract_z
Ho1 Ho 0.476 0.684 0.096
Ho2 Ho 0.412 0.292 0.316
Ho3 Ho 0.184 0.088 0.708
Ho4 Ho 0.096 0.184 0.476
Ho5 Ho 0.380 0.404 0.088
Ho6 Ho 0.880 0.292 0.476
Ho7 Ho 0.120 0.412 0.096
Ho8 Ho 0.976 0.596 0.184
Ho9 Ho 0.088 0.184 0.208
Ho10 Ho 0.684 0.476 0.596
Ho11 Ho 0.792 0.476 0.380
Ho12 Ho 0.912 0.816 0.792
Ho13 Ho 0.708 0.120 0.024
Ho14 Ho 0.024 0.620 0.708
Ho15 Ho 0.524 0.208 0.120
Ho16 Ho 0.708 0.588 0.184
Ho17 Ho 0.184 0.096 0.976
Ho18 Ho 0.816 0.912 0.292
Ho19 Ho 0.596 0.976 0.684
Ho20 Ho 0.120 0.708 0.524
Ho21 Ho 0.976 0.380 0.292
Ho22 Ho 0.596 0.620 0.412
Ho23 Ho 0.208 0.684 0.088
Ho24 Ho 0.096 0.912 0.120
Ho25 Ho 0.904 0.088 0.880
Ho26 Ho 0.208 0.524 0.620
Ho27 Ho 0.588 0.880 0.404
Ho28 Ho 0.620 0.024 0.208
Ho29 Ho 0.404 0.024 0.316
Ho30 Ho 0.024 0.404 0.816
Ho31 Ho 0.524 0.316 0.904
Ho32 Ho 0.380 0.976 0.792
Ho33 Ho 0.292 0.412 0.816
Ho34 Ho 0.292 0.880 0.976
Ho35 Ho 0.684 0.208 0.588
Ho36 Ho 0.404 0.380 0.588
Ho37 Ho 0.792 0.316 0.912
Ho38 Ho 0.912 0.096 0.620
Ho39 Ho 0.904 0.816 0.524
Ho40 Ho 0.412 0.120 0.596
Ho41 Ho 0.088 0.904 0.380
Ho42 Ho 0.316 0.524 0.404
Ho43 Ho 0.316 0.792 0.412
Ho44 Ho 0.816 0.904 0.024
Ho45 Ho 0.476 0.792 0.880
Ho46 Ho 0.588 0.708 0.684
Ho47 Ho 0.620 0.596 0.912
Ho48 Ho 0.880 0.588 0.904
Ru1 Ru 0.125 0.250 0.875
Ru2 Ru 0.625 0.250 0.375
Ru3 Ru 0.625 0.375 0.750
Ru4 Ru 0.750 0.375 0.125
Ru5 Ru 0.250 0.625 0.875
Ru6 Ru 0.750 0.875 0.625
Ru7 Ru 0.875 0.750 0.125
Ru8 Ru 0.875 0.125 0.250
Ru9 Ru 0.125 0.875 0.750
Ru10 Ru 0.375 0.750 0.625
Ru11 Ru 0.250 0.125 0.375
Ru12 Ru 0.375 0.625 0.250
O1 O 0.875 0.250 0.625
O2 O 0.750 0.125 0.875
O3 O 0.000 0.000 0.000
O4 O 0.375 0.125 0.750
O5 O 0.375 0.250 0.125
O6 O 0.000 0.500 0.000
O7 O 0.750 0.625 0.375
O8 O 0.125 0.750 0.375
O9 O 0.000 0.000 0.500
O10 O 0.125 0.375 0.250
O11 O 0.500 0.000 0.500
O12 O 0.250 0.875 0.125
O13 O 0.500 0.500 0.500
O14 O 0.875 0.625 0.750
O15 O 0.500 0.000 0.000
O16 O 0.250 0.375 0.625
O17 O 0.500 0.500 0.000
O18 O 0.000 0.500 0.500
O19 O 0.625 0.875 0.250
O20 O 0.625 0.750 0.875

Record 10
# PBE-GGA Ho6RuO12, relaxed
# uncorrected formation energy	-3028	meV per atom
# DFT total energy	-8.094	eV per atom
# DOS(E_F)	0.475	states/eV per atom
data_Ho6RuO12
_chemical_formula_sum 'Ho6 Ru1 O12'
_cell_length_a 6.437
_cell_length_b 6.437
_cell_length_c 6.437
_cell_angle_alpha 98.60
_cell_angle_beta 98.60
_cell_angle_gamma 98.60
_space_group_name_H-M_alt 'P 1'
_space_group_IT_number 1
loop_
_space_group_symop_operation_xyz
'x,y,z'
loop_
_atom_site_label
_atom_site_type_symbol
_atom_site_fract_x
_atom_site_fract_y
_atom_site_fract_z
O1 O 0.036 0.701 0.926
O2 O 0.926 0.036 0.701
O3 O 0.434 0.590 0.178
O4 O 0.566 0.410 0.822
O5 O 0.074 0.964 0.299
O6 O 0.590 0.178 0.434
O7 O 0.178 0.434 0.590
O8 O 0.822 0.566 0.410
O9 O 0.964 0.299 0.074
O10 O 0.299 0.074 0.964
O11 O 0.701 0.926 0.036
O12 O 0.410 0.822 0.566
Ho1 Ho 0.388 0.686 0.856
Ho2 Ho 0.144 0.612 0.314
Ho3 Ho 0.314 0.144 0.612
Ho4 Ho 0.686 0.856 0.388
Ho5 Ho 0.612 0.314 0.144
Ho6 Ho 0.856 0.388 0.686
Ru1 Ru 0.000 0.000 0.000

Record 11
# PBE-GGA HoRuO4, relaxed
# uncorrected formation energy	-1900	meV per atom
# DFT total energy	-7.514	eV per atom
# energy relative to the lowest polymorph listed for this composition	122	meV/atom
# DOS(E_F)	0.535	states/eV per atom
data_HoRuO4
_chemical_formula_sum 'Ho2 Ru2 O8'
_cell_length_a 5.166
_cell_length_b 5.166
_cell_length_c 6.665
_cell_angle_alpha 112.81
_cell_angle_beta 112.81
_cell_angle_gamma 90.00
_space_group_name_H-M_alt 'P 1'
_space_group_IT_number 1
loop_
_space_group_symop_operation_xyz
'x,y,z'
loop_
_atom_site_label
_atom_site_type_symbol
_atom_site_fract_x
_atom_site_fract_y
_atom_site_fract_z
O1 O 0.592 0.009 0.671
O2 O 0.991 0.921 0.329
O3 O 0.759 0.329 0.171
O4 O 0.079 0.662 0.671
O5 O 0.338 0.408 0.329
O6 O 0.412 0.842 0.171
O7 O 0.671 0.588 0.829
O8 O 0.158 0.241 0.829
Ho1 Ho 0.750 0.250 0.500
Ho2 Ho 0.000 0.000 0.000
Ru1 Ru 0.500 0.500 0.000
Ru2 Ru 0.250 0.750 0.500

Record 12
# PBE-GGA HoSc2RuO8, relaxed
# uncorrected formation energy	-2387	meV per atom
# DFT total energy	-7.903	eV per atom
# DOS(E_F)	0.268	states/eV per atom
data_HoSc2RuO8
_chemical_formula_sum 'Ho1 Sc2 Ru1 O8'
_cell_length_a 4.866
_cell_length_b 4.857
_cell_length_c 6.475
_cell_angle_alpha 90.00
_cell_angle_beta 90.00
_cell_angle_gamma 90.02
_space_group_name_H-M_alt 'P 1'
_space_group_IT_number 1
loop_
_space_group_symop_operation_xyz
'x,y,z'
loop_
_atom_site_label
_atom_site_type_symbol
_atom_site_fract_x
_atom_site_fract_y
_atom_site_fract_z
O1 O 0.193 0.806 0.213
O2 O 0.684 0.685 0.500
O3 O 0.807 0.194 0.787
O4 O 0.279 0.278 0.000
O5 O 0.316 0.315 0.500
O6 O 0.807 0.194 0.213
O7 O 0.193 0.806 0.787
O8 O 0.721 0.722 0.000
Ru1 Ru 0.000 0.000 0.000
Ho1 Ho 0.000 0.000 0.500
Sc1 Sc 0.500 0.500 0.743
Sc2 Sc 0.500 0.500 0.257

Number 1: spin magnetization 0.00 μB/f.u.. Number 2: spin magnetization 5.26 μB/f.u.. Number 3: spin magnetization 1.31 μB/f.u.. Number 4: spin magnetization 0.00 μB/f.u.. Number 5: spin magnetization 1.01 μB/f.u.. Number 6: spin magnetization 0.00 μB/f.u.. Number 7: spin magnetization 8.20 μB/f.u.. Number 8: spin magnetization 4.03 μB/f.u.. Number 9: spin magnetization 0.00 μB/f.u.. Number 10: spin magnetization 1.99 μB/f.u.. Number 11: spin magnetization 1.02 μB/f.u.. Number 12: spin magnetization 1.02 μB/f.u..